Entry 1:
The following is a DFT calculation (PBE-GGA) of an optimized crystal structure of Sb2PbAu2.

Space group: No. 127
Formation energy (no corrections) (meV per atom): 37
Offset from the most stable computed form (eV/atom): 0.0013

Cell: 8.1830 8.1830 3.6547 Å, 90.00 90.00 90.00°
With the nearest neighbours (Å) after each atom.
Element x y z (fractional)
Pb1 0.0000 0.0000 0.0000  4 Au 3.22, 8 Sb 3.54
Pb2 0.5000 0.5000 0.0000  4 Au 3.22, 8 Sb 3.54
Sb1 0.1713 0.6713 0.5000  6 Au 2.96-3.08
Sb2 0.6713 0.8287 0.5000  6 Au 2.96-3.08
Sb3 0.8287 0.3287 0.5000  6 Au 2.96-3.08
Sb4 0.3287 0.1713 0.5000  6 Au 2.96-3.08
Au1 0.3721 0.8721 0.0000  6 Sb 2.96-3.08, 1 Au 2.96, 2 Pb 3.22
Au2 0.8721 0.6279 0.0000  6 Sb 2.96-3.08, 1 Au 2.96, 2 Pb 3.22
Au3 0.6279 0.1279 0.0000  6 Sb 2.96-3.08, 1 Au 2.96, 2 Pb 3.22
Au4 0.1279 0.3721 0.0000  6 Sb 2.96-3.08, 1 Au 2.96, 2 Pb 3.22



Entry 2:
The following is a DFT calculation (PBE-GGA) of an optimized crystal structure of Sb2Pb4Au.

Space group: No. 1
Formation energy (no corrections) (meV per atom): 3

Cell: 6.8972 8.3561 9.1281 Å, 112.28 106.42 102.02°
With the nearest neighbours (Å) after each atom.
Element x y z (fractional)
Sb1 0.2343 0.5851 0.0530  6 Pb 3.12-3.39
Sb2 0.5947 0.0892 0.8753  1 Au 2.74
Sb3 0.9314 0.7811 0.4462  6 Pb 3.12-3.39
Sb4 0.4697 0.4641 0.6250  1 Au 2.74
Pb1 0.1551 0.8116 0.8193  1 Au 2.92, 2 Sb 3.18-3.20
Pb2 0.7514 0.5252 0.9975  3 Sb 3.12-3.21, 1 Pb 3.45
Pb3 0.0149 0.3976 0.3391  2 Au 2.97-3.11, 2 Sb 3.20-3.24
Pb4 0.5048 0.7778 0.5023  3 Sb 3.12-3.21, 1 Pb 3.45
Pb5 0.2346 0.0011 0.3157  2 Au 2.99-3.09, 1 Sb 3.26
Pb6 0.6693 0.9354 0.1848  2 Au 2.99-3.09, 1 Sb 3.26
Pb7 0.0858 0.2424 0.6806  1 Au 2.92, 2 Sb 3.18-3.20
Pb8 0.4261 0.3094 0.1613  2 Au 2.97-3.11, 2 Sb 3.21-3.24
Au1 0.7024 0.2786 0.4769  1 Sb 2.74, 3 Pb 2.92-2.99
Au2 0.9755 0.0513 0.0230  1 Sb 2.74, 3 Pb 2.92-2.99



no.,Fermi-level density of states (states/eV per cell),DFT total energy (eV/cell)
1,4.66,-36.6
2,4.59,-52.7